Record 1
La2ErAu after structural relaxation, computed with PBE.

Its crystal system is trigonal. The energy of formation is -244 meV/atom.

It has space group R3m (No. 160, hexagonal axes), with a = 3.8195 Å, b = 3.8195 Å, c = 30.5072 Å, α = 90.00°, β = 90.00° and γ = 120.00°. The inequivalent atoms are La at (0.0000, 0.0000, 0.0000), La at (0.0000, 0.0000, 0.1875), Er at (0.0000, 0.0000, 0.4260) and Au at (0.0000, 0.0000, 0.5944).


Record 2
CoMoRu after structural relaxation, computed with PBE.

Its crystal system is cubic. The energy of formation is 574 meV/atom.

It has space group F-43m (No. 216), with a = 5.7547 Å, b = 5.7547 Å, c = 5.7547 Å, α = 90.00°, β = 90.00° and γ = 90.00°. The inequivalent atoms are Co at (0.0000, 0.0000, 0.0000), Mo at (0.2500, 0.2500, 0.2500) and Ru at (0.0000, 0.0000, 0.5000).


Record 3
CaPm2NdS4 after structural relaxation, computed with PBE.

Its crystal system is monoclinic. As for the uncorrected formation energy: -47.13 kcal/mol of atoms.

It has space group P2/m (No. 10), with a = 7.0033 Å, b = 4.0195 Å, c = 7.0152 Å, α = 90.00°, β = 109.13° and γ = 90.00°. The inequivalent atoms are Ca at (0.0000, 0.0000, 0.0000), Pm at (0.5000, 0.0000, 0.5000), Pm at (0.5000, 0.5000, 0.0000), Nd at (0.0000, 0.5000, 0.5000), S at (0.2474, 0.5000, 0.2454) and S at (0.2493, 0.0000, 0.7548).


Record 4
Ho2Er7In2 after structural relaxation, computed with PBE.

Its crystal system is orthorhombic. The energy of formation is -44 meV/atom.

It has space group Imm2 (No. 44), with a = 3.6019 Å, b = 19.6230 Å, c = 9.5449 Å, α = 90.00°, β = 90.00° and γ = 90.00°. The inequivalent atoms are Ho at (0.0000, 0.0000, 0.0000), Ho at (0.0000, 0.5000, 0.1702), Er at (0.0000, 0.0000, 0.3462), Er at (0.0000, 0.1314, 0.8148), Er at (0.0000, 0.3407, 0.0057), Er at (0.0000, 0.3647, 0.6331) and In at (0.0000, 0.2438, 0.2942).


Record 5
Y2CdCo2 after structural relaxation, computed with PBE.

Its crystal system is tetragonal. The energy of formation is -15 meV/atom.

It has space group I4/mmm (No. 139), with a = 3.3890 Å, b = 3.3890 Å, c = 18.4632 Å, α = 90.00°, β = 90.00° and γ = 90.00°. The inequivalent atoms are Y at (0.0000, 0.0000, 0.1239), Cd at (0.0000, 0.0000, 0.5000) and Co at (0.0000, 0.5000, 0.2500).


Record 6
Rb3SmBr6 after structural relaxation, computed with PBE.

Its crystal system is monoclinic. As for the uncorrected formation energy: -42.40 kcal/mol of atoms.

It has space group P2_1/c (No. 14), with a = 8.2097 Å, b = 8.7354 Å, c = 14.1333 Å, α = 90.00°, β = 124.11° and γ = 90.00°. The inequivalent atoms are Rb at (0.0000, 0.0000, 0.0000), Rb at (0.2125, 0.0754, 0.7423), Sm at (0.5000, 0.0000, 0.5000), Br at (0.1634, 0.1780, 0.4445), Br at (0.2588, 0.7276, 0.4237) and Br at (0.4035, 0.0552, 0.2735).